Material: Pr2ZnNi3Pt12
Method: DFT, PBE
State: optimized geometry

Calculated values
As for the space-group type: R-3m (166). As for the formation energy: -25 meV/atom.

Cell lengths 7.8268, 7.8268, 7.8268 Å; angles 62.72, 62.72, 62.72 degrees
Fractional coordinates of all 18 atoms:
Pt  0.1312  0.6235  0.1312
Pt  0.6338  0.1128  0.6338
Pt  0.3662  0.8872  0.3662
Pt  0.8688  0.3765  0.8688
Pt  0.6235  0.1312  0.1312
Pt  0.6338  0.6338  0.1128
Pt  0.1312  0.1312  0.6235
Pt  0.8688  0.8688  0.3765
Pt  0.8872  0.3662  0.3662
Pt  0.3765  0.8688  0.8688
Pt  0.3662  0.3662  0.8872
Pt  0.1128  0.6338  0.6338
Pr  0.6157  0.6157  0.6157
Pr  0.3843  0.3843  0.3843
Ni  0.5000  0.0000  0.0000
Ni  0.0000  0.5000  0.0000
Ni  0.0000  0.0000  0.5000
Zn  0.0000  0.0000  0.0000